Arrangement a

! ZnAuC3, relaxed, DFT PBE; values from VASP
&SYSTEM
  ibrav = 0, nat = 5, ntyp = 3
/
ATOMIC_SPECIES
Zn 65.41 Zn.upf
Au 196.97 Au.upf
C 12.01 C.upf
ATOMIC_POSITIONS crystal
Zn 0.0000 0.0000 0.0000
Au 0.5000 0.5000 0.5000
C 0.0000 0.0000 0.5000
C 0.0000 0.5000 0.0000
C 0.5000 0.0000 0.0000
CELL_PARAMETERS angstrom
3.9906 0.0000 0.0000
0.0000 3.9906 0.0000
0.0000 0.0000 3.9906
! Space-group type   Pm-3m (221)
! Total magnetization   0.00 μB per formula unit



Arrangement b

! ZnAuC3, relaxed, DFT PBE; values from VASP
&SYSTEM
  ibrav = 0, nat = 5, ntyp = 3
/
ATOMIC_SPECIES
Zn 65.41 Zn.upf
Au 196.97 Au.upf
C 12.01 C.upf
ATOMIC_POSITIONS crystal
Zn 0.0000 0.0000 0.0000
Au 0.5000 0.5000 0.5000
C 0.0000 0.5000 0.5000
C 0.5000 0.0000 0.5000
C 0.5000 0.5000 0.0000
CELL_PARAMETERS angstrom
4.1714 0.0000 0.0000
0.0000 4.1714 0.0000
0.0000 0.0000 4.1714
! Space-group type   Pm-3m (221)
! Total magnetization   0.00 μB per formula unit



List of relative energies, unit meV per atom: arrangement a 0; arrangement b 153



Arrangement a

! ZrAuC3, relaxed, DFT PBE; values from VASP
&SYSTEM
  ibrav = 0, nat = 5, ntyp = 3
/
ATOMIC_SPECIES
Zr 91.22 Zr.upf
Au 196.97 Au.upf
C 12.01 C.upf
ATOMIC_POSITIONS crystal
Zr 0.0000 0.0000 0.0000
Au 0.5000 0.5000 0.5000
C 0.0000 0.5000 0.5000
C 0.5000 0.0000 0.5000
C 0.5000 0.5000 0.0000
CELL_PARAMETERS angstrom
4.0702 0.0000 0.0000
0.0000 4.0702 0.0000
0.0000 0.0000 4.0702
! Space-group type   Pm-3m (221)
! Total magnetization   0.00 μB per formula unit



Arrangement b

! ZrAuC3, relaxed, DFT PBE; values from VASP
&SYSTEM
  ibrav = 0, nat = 5, ntyp = 3
/
ATOMIC_SPECIES
Zr 91.22 Zr.upf
Au 196.97 Au.upf
C 12.01 C.upf
ATOMIC_POSITIONS crystal
Zr 0.0000 0.0000 0.0000
Au 0.5000 0.5000 0.5000
C 0.0000 0.0000 0.5000
C 0.0000 0.5000 0.0000
C 0.5000 0.0000 0.0000
CELL_PARAMETERS angstrom
4.3583 0.0000 0.0000
0.0000 4.3583 0.0000
0.0000 0.0000 4.3583
! Space-group type   Pm-3m (221)
! Total magnetization   0.00 μB per formula unit



List of relative energies, unit meV per atom: arrangement a 0; arrangement b 46



Arrangement a

! ZrAuC2, relaxed, DFT PBE; values from VASP
&SYSTEM
  ibrav = 0, nat = 8, ntyp = 3
/
ATOMIC_SPECIES
Zr 91.22 Zr.upf
Au 196.97 Au.upf
C 12.01 C.upf
ATOMIC_POSITIONS crystal
Zr 0.0000 0.0000 0.0000
Zr 0.7500 0.2500 0.5000
Au 0.2500 0.7500 0.5000
Au 0.5000 0.5000 0.0000
C 0.1383 0.6250 0.0133
C 0.3750 0.3883 0.5133
C 0.6117 0.1250 0.9867
C 0.8750 0.8617 0.4867
CELL_PARAMETERS angstrom
-2.4109 2.4109 5.3622
2.4109 -2.4109 5.3622
2.4109 2.4109 -5.3622
! Space-group type   I-42d (122)
! Total magnetization   0.00 μB per formula unit



Arrangement b

! ZrAuC2, relaxed, DFT PBE; values from VASP
&SYSTEM
  ibrav = 0, nat = 4, ntyp = 3
/
ATOMIC_SPECIES
Zr 91.22 Zr.upf
Au 196.97 Au.upf
C 12.01 C.upf
ATOMIC_POSITIONS crystal
Zr 0.0000 0.0000 0.0000
Au 0.5000 0.5000 0.5000
C 0.2500 0.2500 0.2500
C 0.7500 0.7500 0.7500
CELL_PARAMETERS angstrom
0.0000 2.9175 2.9175
2.9175 0.0000 2.9175
2.9175 2.9175 0.0000
! Space-group type   Fm-3m (225)
! Total magnetization   0.00 μB per formula unit



List of relative energies, unit meV per atom: arrangement a 0; arrangement b 277